# BiSCl3 (PBE, optimized geometry)
data_BiSCl3
_cell_length_a 4.973
_cell_length_b 4.973
_cell_length_c 4.973
_cell_angle_alpha 90.00
_cell_angle_beta 90.00
_cell_angle_gamma 90.00
_space_group_name_H-M_alt 'P 1'
_space_group_IT_number 1
_space_group_name_Hall 'P 1'
loop_
_atom_site_label
_atom_site_fract_x
_atom_site_fract_y
_atom_site_fract_z
Bi1 0.000 0.000 0.000
S1 0.500 0.500 0.500
Cl1 0.000 0.500 0.500
Cl2 0.500 0.000 0.500
Cl3 0.500 0.500 0.000
# E_form (uncorrected) ... 1.38 eV per formula unit
# Crystal system ... cubic
# Density of states at the Fermi level ... 4.2 states/eV/cell
# Raw total energy ... -2.434 eV per atom